(1)
Sr2TcO6 | PBE-GGA | relaxed

abc: 4.049 5.647 6.464
angles: 115.90 108.25 90.00
Last column: magnetic moment on the atom in μB.
Fractional coordinates of all 9 atoms:
1 Sr 0.331 0.331 0.662  0.01
2 Sr 0.669 0.669 0.338  0.01
3 Tc 0.000 0.000 0.000  -0.18
4 O 0.131 0.357 0.262  0.03
5 O 0.131 0.904 0.262  0.03
6 O 0.500 0.176 0.000  0.43
7 O 0.869 0.643 0.738  0.03
8 O 0.869 0.096 0.738  0.03
9 O 0.500 0.824 0.000  0.43

Output
ρ (g/cm3): 4.920
Volume (Å³/cell): 125



(2)
Sr2TcO6 | PBE-GGA | relaxed

abc: 6.474 5.787 7.877
angles: 97.49 90.00 90.00
Last column: magnetic moment on the atom in μB.
Fractional coordinates of all 18 atoms:
1 O 0.643 0.770 0.954  0.02
2 O 0.751 0.375 0.079  0.26
3 O 0.440 0.643 0.223  0.20
4 O 0.060 0.143 0.723  0.20
5 O 0.249 0.625 0.921  0.26
6 O 0.560 0.357 0.777  0.20
7 O 0.357 0.230 0.046  0.02
8 O 0.143 0.730 0.546  0.02
9 O 0.857 0.270 0.454  0.02
10 O 0.940 0.857 0.277  0.20
11 O 0.749 0.875 0.579  0.26
12 O 0.251 0.125 0.421  0.26
13 Sr 0.909 0.545 0.745  0.00
14 Sr 0.091 0.455 0.255  0.00
15 Sr 0.409 0.955 0.755  0.00
16 Sr 0.591 0.045 0.245  0.00
17 Tc 0.500 0.500 0.000  -0.12
18 Tc 0.000 0.000 0.500  -0.12

Output
ρ (g/cm3): 4.191
Volume (Å³/cell): 293



It comes down to (2), which is 26.3 kJ/mol of atoms more stable than the next structure.



(1)
Sr2TcO4 | PBE-GGA | relaxed

abc: 4.000 4.000 6.927
angles: 73.22 73.22 90.00
Last column: magnetic moment on the atom in μB.
Fractional coordinates of all 7 atoms:
1 Tc 0.000 0.000 0.000  1.78
2 O 0.838 0.838 0.324  0.09
3 O 0.162 0.162 0.676  0.09
4 O 0.000 0.500 0.000  0.11
5 O 0.500 0.000 0.000  0.11
6 Sr 0.356 0.356 0.289  0.01
7 Sr 0.644 0.644 0.711  0.01

Output
ρ (g/cm3): 5.535
Volume (Å³/cell): 101



(2)
Sr2TcO4 | PBE-GGA | relaxed

abc: 6.247 5.796 6.896
angles: 90.00 107.51 90.00
Last column: magnetic moment on the atom in μB.
Fractional coordinates of all 14 atoms:
1 O 0.939 0.250 0.077  0.11
2 O 0.061 0.750 0.923  0.11
3 O 0.474 0.530 0.251  0.02
4 O 0.526 0.030 0.749  0.02
5 O 0.474 0.970 0.251  0.02
6 O 0.526 0.470 0.749  0.02
7 O 0.963 0.250 0.640  0.07
8 O 0.037 0.750 0.360  0.07
9 Sr 0.682 0.750 0.034  0.00
10 Sr 0.754 0.750 0.560  0.00
11 Sr 0.318 0.250 0.966  0.00
12 Sr 0.246 0.250 0.440  0.00
13 Tc 0.219 0.750 0.194  0.71
14 Tc 0.781 0.250 0.806  0.71

Output
ρ (g/cm3): 4.704
Volume (Å³/cell): 238



It comes down to (1), which is 20.7 kJ/mol of atoms more stable than the next structure.



(1)
SrTcO5 | PBE-GGA | relaxed

abc: 5.829 5.829 7.703
angles: 70.89 70.89 71.58
Last column: magnetic moment on the atom in μB.
Fractional coordinates of all 14 atoms:
1 Tc 0.000 0.000 0.500  -0.14
2 Tc 0.000 0.000 0.000  -0.14
3 O 0.257 0.722 0.459  0.21
4 O 0.226 0.197 0.393  0.23
5 O 0.278 0.743 0.041  0.21
6 O 0.743 0.278 0.541  0.21
7 O 0.774 0.803 0.607  0.23
8 O 0.937 0.063 0.250  0.08
9 O 0.803 0.774 0.107  0.23
10 O 0.722 0.257 0.959  0.21
11 O 0.197 0.226 0.893  0.23
12 O 0.063 0.937 0.750  0.08
13 Sr 0.442 0.558 0.750  0.00
14 Sr 0.558 0.442 0.250  0.00

Output
ρ (g/cm3): 3.883
Volume (Å³/cell): 227



(2)
SrTcO5 | PBE-GGA | relaxed

abc: 6.586 6.586 9.600
angles: 110.91 110.91 90.54
Last column: magnetic moment on the atom in μB.
Fractional coordinates of all 14 atoms:
1 O 0.949 0.051 0.250  0.74
2 O 0.743 0.253 0.897  0.00
3 O 0.257 0.747 0.103  0.00
4 O 0.747 0.257 0.603  0.00
5 O 0.708 0.647 0.839  0.00
6 O 0.051 0.949 0.750  0.74
7 O 0.292 0.353 0.161  0.00
8 O 0.353 0.292 0.661  0.00
9 O 0.647 0.708 0.339  0.00
10 O 0.253 0.743 0.397  0.00
11 Tc 0.363 0.637 0.250  0.00
12 Tc 0.637 0.363 0.750  0.00
13 Sr 0.000 0.000 0.500  0.00
14 Sr 0.000 0.000 0.000  0.00

Output
ρ (g/cm3): 2.458
Volume (Å³/cell): 359



It comes down to (2), which is 10.5 kJ/mol of atoms more stable than the next structure.